Arrangement one

A plane-wave DFT calculation with PBE was carried out for a relaxed structure of GaSbTe2Rh.

Values from the calculation:
Mass density, Mg/m³: 6.42
DOS(E_F), states/eV per atom: 0.814
Spin magnetization, μB/cell: 0.4

```
GaSbTe2Rh
1.0
5.2677 0.0000 0.0000
0.0000 5.2677 0.0000
0.0000 0.0000 5.1231
Ga Sb Te Rh
1 1 2 1
Direct
0.0000 0.0000 0.0000 Ga
0.0000 0.0000 0.5000 Sb
0.0000 0.5000 0.0000 Te
0.5000 0.0000 0.0000 Te
0.5000 0.5000 0.5000 Rh
```


Arrangement two

A plane-wave DFT calculation with PBE was carried out for a relaxed structure of GaSbTe2Rh.

Values from the calculation:
Mass density, Mg/m³: 6.15
DOS(E_F), states/eV per atom: 0.999
Spin magnetization, μB/cell: 0.0

```
GaSbTe2Rh
1.0
5.4860 0.0000 0.0000
0.0000 5.4860 0.0000
0.0000 0.0000 4.9318
Ga Sb Te Rh
1 1 2 1
Direct
0.0000 0.0000 0.0000 Ga
0.5000 0.5000 0.0000 Sb
0.0000 0.5000 0.5000 Te
0.5000 0.0000 0.5000 Te
0.5000 0.5000 0.5000 Rh
```


Which one sits at the bottom of the stability order? arrangement one does.


Arrangement one

A plane-wave DFT calculation with PBE was carried out for a relaxed structure of GaSb2TeRh.

Values from the calculation:
Mass density, Mg/m³: 6.50
DOS(E_F), states/eV per atom: 0.607
Spin magnetization, μB/cell: 0.0

```
GaSb2TeRh
1.0
5.1379 0.0000 0.0000
0.0000 5.1379 0.0000
0.0000 0.0000 5.2657
Ga Sb Te Rh
1 2 1 1
Direct
0.0000 0.0000 0.0000 Ga
0.0000 0.5000 0.0000 Sb
0.5000 0.0000 0.0000 Sb
0.0000 0.0000 0.5000 Te
0.5000 0.5000 0.5000 Rh
```


Arrangement two

A plane-wave DFT calculation with PBE was carried out for a relaxed structure of GaSb2TeRh.

Values from the calculation:
Mass density, Mg/m³: 6.14
DOS(E_F), states/eV per atom: 0.774
Spin magnetization, μB/cell: 0.0

```
GaSb2TeRh
1.0
5.0379 0.0000 0.0000
0.0000 5.0379 0.0000
0.0000 0.0000 5.7982
Ga Sb Te Rh
1 2 1 1
Direct
0.0000 0.0000 0.0000 Ga
0.0000 0.5000 0.5000 Sb
0.5000 0.0000 0.5000 Sb
0.5000 0.5000 0.0000 Te
0.5000 0.5000 0.5000 Rh
```


Which one sits at the bottom of the stability order? arrangement one does.


Arrangement one

A plane-wave DFT calculation with PBE was carried out for a relaxed structure of Sc2Ga5Rh3.

Values from the calculation:
Mass density, Mg/m³: 7.22
DOS(E_F), states/eV per atom: 0.589
Spin magnetization, μB/cell: 0.0

```
Sc2Ga5Rh3
1.0
-5.3826 5.7527 2.7768
5.3826 -5.7527 2.7768
5.3826 5.7527 -2.7768
Sc Ga Rh
4 10 6
Direct
0.2342 0.1383 0.3725 Sc
0.2658 0.6383 0.9041 Sc
0.7342 0.3617 0.0959 Sc
0.7658 0.8617 0.6275 Sc
0.1434 0.8863 0.0297 Ga
0.2500 0.0000 0.7500 Ga
0.2500 0.5000 0.2500 Ga
0.2500 0.7500 0.5000 Ga
0.3566 0.3863 0.7430 Ga
0.6434 0.6137 0.2570 Ga
0.7500 0.0000 0.2500 Ga
0.7500 0.2500 0.5000 Ga
0.7500 0.5000 0.7500 Ga
0.8566 0.1137 0.9703 Ga
0.1461 0.3863 0.5324 Rh
0.2500 0.2500 0.0000 Rh
0.3539 0.8863 0.2401 Rh
0.6461 0.1137 0.7599 Rh
0.7500 0.7500 0.0000 Rh
0.8539 0.6137 0.4676 Rh
```


Arrangement two

A plane-wave DFT calculation with PBE was carried out for a relaxed structure of Sc2Ga5Rh3.

Values from the calculation:
Mass density, Mg/m³: 7.39
DOS(E_F), states/eV per atom: 0.494
Spin magnetization, μB/cell: 0.0

```
Sc2Ga5Rh3
1.0
2.1079 -11.9938 0.0000
2.1079 11.9938 0.0000
0.0000 0.0000 6.6379
Sc Ga Rh
4 10 6
Direct
0.0220 0.9780 0.5000 Sc
0.3226 0.6774 0.4073 Sc
0.6774 0.3226 0.9073 Sc
0.9780 0.0220 0.0000 Sc
0.1002 0.8998 0.1297 Ga
0.2049 0.7951 0.5978 Ga
0.2085 0.7915 0.1905 Ga
0.3761 0.6239 0.9820 Ga
0.4476 0.5524 0.3299 Ga
0.5524 0.4476 0.8299 Ga
0.6239 0.3761 0.4820 Ga
0.7915 0.2085 0.6905 Ga
0.7951 0.2049 0.0978 Ga
0.8998 0.1002 0.6297 Ga
0.1080 0.8920 0.7452 Rh
0.2727 0.7273 0.8908 Rh
0.4529 0.5471 0.7164 Rh
0.5471 0.4529 0.2164 Rh
0.7273 0.2727 0.3908 Rh
0.8920 0.1080 0.2452 Rh
```


Which one sits at the bottom of the stability order? arrangement one does.


Arrangement one

A plane-wave DFT calculation with PBE was carried out for a relaxed structure of TmScGaRh.

Values from the calculation:
Mass density, Mg/m³: 8.29
DOS(E_F), states/eV per atom: 0.517
Spin magnetization, μB/cell: 0.0

```
TmScGaRh
1.0
6.7668 0.0000 0.0000
0.0000 6.7668 0.0000
0.0000 0.0000 6.7668
Tm Sc Ga Rh
4 4 4 4
Direct
0.0000 0.0000 0.0000 Tm
0.0000 0.5000 0.5000 Tm
0.5000 0.0000 0.5000 Tm
0.5000 0.5000 0.0000 Tm
0.0000 0.0000 0.5000 Sc
0.0000 0.5000 0.0000 Sc
0.5000 0.0000 0.0000 Sc
0.5000 0.5000 0.5000 Sc
0.2500 0.2500 0.2500 Ga
0.2500 0.7500 0.7500 Ga
0.7500 0.2500 0.7500 Ga
0.7500 0.7500 0.2500 Ga
0.2500 0.2500 0.7500 Rh
0.2500 0.7500 0.2500 Rh
0.7500 0.2500 0.2500 Rh
0.7500 0.7500 0.7500 Rh
```


Arrangement two

A plane-wave DFT calculation with PBE was carried out for a relaxed structure of TmScGaRh.

Values from the calculation:
Mass density, Mg/m³: 8.33
DOS(E_F), states/eV per atom: 0.507
Spin magnetization, μB/cell: 0.0

```
TmScGaRh
1.0
3.4494 0.0000 0.0000
0.0000 4.6407 0.0000
0.0000 0.0000 4.8106
Tm Sc Ga Rh
1 1 1 1
Direct
0.0000 0.0000 0.0000 Tm
0.0000 0.5000 0.5000 Sc
0.5000 0.0000 0.5000 Ga
0.5000 0.5000 0.0000 Rh
```


Which one sits at the bottom of the stability order? arrangement one does.


Arrangement one

A plane-wave DFT calculation with PBE was carried out for a relaxed structure of Sm8Ga2Rh.

Values from the calculation:
Mass density, Mg/m³: 7.88
DOS(E_F), states/eV per atom: 1.099
Spin magnetization, μB/cell: 0.0

```
Sm8Ga2Rh
1.0
-2.4141 4.3774 7.2046
2.4141 -4.3774 7.2046
2.4141 4.3774 -7.2046
Sm Ga Rh
8 2 1
Direct
0.1197 0.3389 0.7808 Sm
0.1226 0.1226 0.0000 Sm
0.3286 0.0000 0.3286 Sm
0.4418 0.6611 0.7808 Sm
0.5582 0.3389 0.2192 Sm
0.6714 0.0000 0.6714 Sm
0.8774 0.8774 0.0000 Sm
0.8803 0.6611 0.2192 Sm
0.3039 0.8039 0.5000 Ga
0.6961 0.1961 0.5000 Ga
0.0000 0.5000 0.5000 Rh
```


Arrangement two

A plane-wave DFT calculation with PBE was carried out for a relaxed structure of Sm8Ga2Rh.

Values from the calculation:
Mass density, Mg/m³: 7.75
DOS(E_F), states/eV per atom: 0.929
Spin magnetization, μB/cell: 0.0

```
Sm8Ga2Rh
1.0
9.2308 -2.5216 0.0000
9.2308 2.5216 0.0000
-1.2608 0.0000 6.6532
Sm Ga Rh
8 2 1
Direct
0.0232 0.0232 0.2771 Sm
0.2080 0.2080 0.8123 Sm
0.3479 0.3479 0.5259 Sm
0.4091 0.4091 0.0449 Sm
0.5909 0.5909 0.9551 Sm
0.6521 0.6521 0.4741 Sm
0.7920 0.7920 0.1877 Sm
0.9768 0.9768 0.7229 Sm
0.1899 0.1899 0.2537 Ga
0.8101 0.8101 0.7463 Ga
0.5000 0.5000 0.5000 Rh
```


Which one sits at the bottom of the stability order? arrangement one does.


Arrangement one

A plane-wave DFT calculation with PBE was carried out for a relaxed structure of Sm4GaRh.

Values from the calculation:
Mass density, Mg/m³: 7.76
DOS(E_F), states/eV per atom: 1.004
Spin magnetization, μB/cell: 0.0

```
Sm4GaRh
1.0
4.4916 -6.8437 0.0000
4.4916 6.8437 0.0000
-3.0371 0.0000 5.3888
Sm Ga Rh
8 2 2
Direct
0.0610 0.6945 0.9102 Sm
0.2242 0.3558 0.6926 Sm
0.3055 0.9390 0.5898 Sm
0.3558 0.2242 0.1926 Sm
0.6442 0.7758 0.8074 Sm
0.6945 0.0610 0.4102 Sm
0.7758 0.6442 0.3074 Sm
0.9390 0.3055 0.0898 Sm
0.3710 0.6290 0.2500 Ga
0.6290 0.3710 0.7500 Ga
0.9995 0.0005 0.2500 Rh
0.0005 0.9995 0.7500 Rh
```


Arrangement two

A plane-wave DFT calculation with PBE was carried out for a relaxed structure of Sm4GaRh.

Values from the calculation:
Mass density, Mg/m³: 7.99
DOS(E_F), states/eV per atom: 0.712
Spin magnetization, μB/cell: 0.0

```
Sm4GaRh
1.0
0.0000 6.8530 6.8530
6.8530 0.0000 6.8530
6.8530 6.8530 0.0000
Sm Ga Rh
16 4 4
Direct
0.1874 0.1874 0.8126 Sm
0.1874 0.8126 0.1874 Sm
0.1874 0.8126 0.8126 Sm
0.3966 0.3966 0.3966 Sm
0.3966 0.3966 0.8101 Sm
0.3966 0.8101 0.3966 Sm
0.5559 0.5559 0.9441 Sm
0.5559 0.9441 0.5559 Sm
0.5559 0.9441 0.9441 Sm
0.8101 0.3966 0.3966 Sm
0.8126 0.1874 0.1874 Sm
0.8126 0.1874 0.8126 Sm
0.8126 0.8126 0.1874 Sm
0.9441 0.5559 0.5559 Sm
0.9441 0.5559 0.9441 Sm
0.9441 0.9441 0.5559 Sm
0.1703 0.1703 0.1703 Ga
0.1703 0.1703 0.4892 Ga
0.1703 0.4892 0.1703 Ga
0.4892 0.1703 0.1703 Ga
0.1785 0.6072 0.6072 Rh
0.6072 0.1785 0.6072 Rh
0.6072 0.6072 0.1785 Rh
0.6072 0.6072 0.6072 Rh
```


Which one sits at the bottom of the stability order? arrangement one does.


Arrangement one

A plane-wave DFT calculation with PBE was carried out for a relaxed structure of SmGaRh4.

Values from the calculation:
Mass density, Mg/m³: 5.25
DOS(E_F), states/eV per atom: 1.707
Spin magnetization, μB/cell: 0.0

```
SmGaRh4
1.0
0.0000 4.6413 4.6413
4.6413 0.0000 4.6413
4.6413 4.6413 0.0000
Sm Ga Rh
1 1 4
Direct
0.0000 0.0000 0.0000 Sm
0.5000 0.5000 0.5000 Ga
0.1536 0.1536 0.1536 Rh
0.1536 0.1536 0.5391 Rh
0.1536 0.5391 0.1536 Rh
0.5391 0.1536 0.1536 Rh
```


Arrangement two

A plane-wave DFT calculation with PBE was carried out for a relaxed structure of SmGaRh4.

Values from the calculation:
Mass density, Mg/m³: 10.18
DOS(E_F), states/eV per atom: 1.296
Spin magnetization, μB/cell: 0.0

```
SmGaRh4
1.0
0.0000 3.7208 3.7208
3.7208 0.0000 3.7208
3.7208 3.7208 0.0000
Sm Ga Rh
1 1 4
Direct
0.0000 0.0000 0.0000 Sm
0.7500 0.7500 0.7500 Ga
0.3759 0.3759 0.3759 Rh
0.3759 0.3759 0.8723 Rh
0.3759 0.8723 0.3759 Rh
0.8723 0.3759 0.3759 Rh
```


Which one sits at the bottom of the stability order? arrangement one does.


Arrangement one

A plane-wave DFT calculation with PBE was carried out for a relaxed structure of SmGa3Rh3.

Values from the calculation:
Mass density, Mg/m³: 9.46
DOS(E_F), states/eV per atom: 0.598
Spin magnetization, μB/cell: 0.0

```
SmGa3Rh3
1.0
7.7698 0.0000 0.0000
0.0000 7.7698 0.0000
0.0000 0.0000 7.7698
Sm Ga Rh
4 12 12
Direct
0.0614 0.4386 0.5614 Sm
0.4386 0.5614 0.0614 Sm
0.5614 0.0614 0.4386 Sm
0.9386 0.9386 0.9386 Sm
0.0075 0.8065 0.5844 Ga
0.0844 0.4925 0.1935 Ga
0.1935 0.0844 0.4925 Ga
0.3065 0.9156 0.9925 Ga
0.4156 0.5075 0.6935 Ga
0.4925 0.1935 0.0844 Ga
0.5075 0.6935 0.4156 Ga
0.5844 0.0075 0.8065 Ga
0.6935 0.4156 0.5075 Ga
0.8065 0.5844 0.0075 Ga
0.9156 0.9925 0.3065 Ga
0.9925 0.3065 0.9156 Ga
0.1167 0.6167 0.8833 Rh
0.1679 0.1679 0.1679 Rh
0.2122 0.7878 0.2878 Rh
0.2878 0.2122 0.7878 Rh
0.3321 0.8321 0.6679 Rh
0.3833 0.3833 0.3833 Rh
0.6167 0.8833 0.1167 Rh
0.6679 0.3321 0.8321 Rh
0.7122 0.7122 0.7122 Rh
0.7878 0.2878 0.2122 Rh
0.8321 0.6679 0.3321 Rh
0.8833 0.1167 0.6167 Rh
```


Arrangement two

A plane-wave DFT calculation with PBE was carried out for a relaxed structure of SmGa3Rh3.

Values from the calculation:
Mass density, Mg/m³: 7.39
DOS(E_F), states/eV per atom: 0.609
Spin magnetization, μB/cell: 0.0

```
SmGa3Rh3
1.0
6.6978 0.0000 0.0000
0.0000 6.6978 0.0000
0.0000 0.0000 6.6978
Sm Ga Rh
2 6 6
Direct
0.0000 0.0000 0.0000 Sm
0.5000 0.5000 0.5000 Sm
0.0000 0.2500 0.5000 Ga
0.0000 0.7500 0.5000 Ga
0.2500 0.5000 0.0000 Ga
0.5000 0.0000 0.2500 Ga
0.5000 0.0000 0.7500 Ga
0.7500 0.5000 0.0000 Ga
0.0000 0.5000 0.2500 Rh
0.0000 0.5000 0.7500 Rh
0.2500 0.0000 0.5000 Rh
0.5000 0.2500 0.0000 Rh
0.5000 0.7500 0.0000 Rh
0.7500 0.0000 0.5000 Rh
```


Which one sits at the bottom of the stability order? arrangement two does.


Arrangement one

A plane-wave DFT calculation with PBE was carried out for a relaxed structure of TbSmGaRh.

Values from the calculation:
Mass density, Mg/m³: 8.55
DOS(E_F), states/eV per atom: 0.815
Spin magnetization, μB/cell: 0.0

```
TbSmGaRh
1.0
3.9585 0.0000 0.0000
0.0000 4.3042 0.0000
0.0000 0.0000 10.9910
Tb Sm Ga Rh
2 2 2 2
Direct
0.0000 0.0000 0.0000 Tb
0.0000 0.5000 0.5000 Tb
0.5000 0.0000 0.7142 Sm
0.5000 0.5000 0.2142 Sm
0.0000 0.0000 0.2974 Ga
0.0000 0.5000 0.7974 Ga
0.5000 0.0000 0.4511 Rh
0.5000 0.5000 0.9511 Rh
```


Arrangement two

A plane-wave DFT calculation with PBE was carried out for a relaxed structure of TbSmGaRh.

Values from the calculation:
Mass density, Mg/m³: 8.91
DOS(E_F), states/eV per atom: 0.849
Spin magnetization, μB/cell: 0.0

```
TbSmGaRh
1.0
7.1092 0.0000 0.0000
0.0000 7.1092 0.0000
0.0000 0.0000 7.1092
Tb Sm Ga Rh
4 4 4 4
Direct
0.0000 0.0000 0.0000 Tb
0.0000 0.5000 0.5000 Tb
0.5000 0.0000 0.5000 Tb
0.5000 0.5000 0.0000 Tb
0.0000 0.0000 0.5000 Sm
0.0000 0.5000 0.0000 Sm
0.5000 0.0000 0.0000 Sm
0.5000 0.5000 0.5000 Sm
0.2500 0.2500 0.7500 Ga
0.2500 0.7500 0.2500 Ga
0.7500 0.2500 0.2500 Ga
0.7500 0.7500 0.7500 Ga
0.2500 0.2500 0.2500 Rh
0.2500 0.7500 0.7500 Rh
0.7500 0.2500 0.7500 Rh
0.7500 0.7500 0.2500 Rh
```


Which one sits at the bottom of the stability order? arrangement two does.


Arrangement one

A plane-wave DFT calculation with PBE was carried out for a relaxed structure of SmThGaRh.

Values from the calculation:
Mass density, Mg/m³: 9.50
DOS(E_F), states/eV per atom: 0.727
Spin magnetization, μB/cell: 0.0

```
SmThGaRh
1.0
3.9265 0.0000 0.0000
0.0000 4.2160 0.0000
0.0000 0.0000 11.7231
Sm Th Ga Rh
2 2 2 2
Direct
0.0000 0.0000 0.0000 Sm
0.0000 0.5000 0.5000 Sm
0.5000 0.0000 0.2772 Th
0.5000 0.5000 0.7772 Th
0.5000 0.0000 0.5755 Ga
0.5000 0.5000 0.0755 Ga
0.0000 0.0000 0.7398 Rh
0.0000 0.5000 0.2398 Rh
```


Arrangement two

A plane-wave DFT calculation with PBE was carried out for a relaxed structure of SmThGaRh.

Values from the calculation:
Mass density, Mg/m³: 9.77
DOS(E_F), states/eV per atom: 0.992
Spin magnetization, μB/cell: 0.0

```
SmThGaRh
1.0
7.2258 0.0000 0.0000
0.0000 7.2258 0.0000
0.0000 0.0000 7.2258
Sm Th Ga Rh
4 4 4 4
Direct
0.0000 0.0000 0.0000 Sm
0.0000 0.5000 0.5000 Sm
0.5000 0.0000 0.5000 Sm
0.5000 0.5000 0.0000 Sm
0.0000 0.0000 0.5000 Th
0.0000 0.5000 0.0000 Th
0.5000 0.0000 0.0000 Th
0.5000 0.5000 0.5000 Th
0.2500 0.2500 0.7500 Ga
0.2500 0.7500 0.2500 Ga
0.7500 0.2500 0.2500 Ga
0.7500 0.7500 0.7500 Ga
0.2500 0.2500 0.2500 Rh
0.2500 0.7500 0.7500 Rh
0.7500 0.2500 0.7500 Rh
0.7500 0.7500 0.2500 Rh
```


Which one sits at the bottom of the stability order? arrangement two does.


Arrangement one

A plane-wave DFT calculation with PBE was carried out for a relaxed structure of Ga2SnRh2.

Values from the calculation:
Mass density, Mg/m³: 9.33
DOS(E_F), states/eV per atom: 0.574
Spin magnetization, μB/cell: 0.0

```
Ga2SnRh2
1.0
7.5275 0.0000 0.0000
0.0000 7.5275 0.0000
0.0000 0.0000 2.9137
Ga Sn Rh
4 2 4
Direct
0.1334 0.3666 0.0000 Ga
0.3666 0.8666 0.0000 Ga
0.6334 0.1334 0.0000 Ga
0.8666 0.6334 0.0000 Ga
0.0000 0.0000 0.0000 Sn
0.5000 0.5000 0.0000 Sn
0.1577 0.6577 0.5000 Rh
0.3423 0.1577 0.5000 Rh
0.6577 0.8423 0.5000 Rh
0.8423 0.3423 0.5000 Rh
```


Arrangement two

A plane-wave DFT calculation with PBE was carried out for a relaxed structure of Ga2SnRh2.

Values from the calculation:
Mass density, Mg/m³: 9.39
DOS(E_F), states/eV per atom: 0.615
Spin magnetization, μB/cell: 0.0

```
Ga2SnRh2
1.0
7.4099 0.0000 0.0000
0.0000 7.4099 0.0000
0.0000 0.0000 2.9885
Ga Sn Rh
4 2 4
Direct
0.1453 0.3547 0.0000 Ga
0.3547 0.8547 0.0000 Ga
0.6453 0.1453 0.0000 Ga
0.8547 0.6453 0.0000 Ga
0.0000 0.0000 0.5000 Sn
0.5000 0.5000 0.5000 Sn
0.1490 0.6490 0.5000 Rh
0.3510 0.1490 0.5000 Rh
0.6490 0.8510 0.5000 Rh
0.8510 0.3510 0.5000 Rh
```


Which one sits at the bottom of the stability order? arrangement one does.